(w)
NaLaY2 | PBE | optimized geometry

Results
Space group   I-42d
DOS at the Fermi energy   3.64 states/eV per cell

Cell lengths 8.8149, 8.8149, 7.1193 Å; angles 51.75, 51.75, 90.00 degrees
Atoms (fractional coordinates):
Y1 0.3750 0.3977 0.7500
Y2 0.1477 0.6250 0.2500
Na1 0.5000 0.5000 0.0000
Y3 0.6023 0.1250 0.2500
La1 0.0000 0.0000 0.0000
Na2 0.2500 0.7500 0.5000
La2 0.7500 0.2500 0.5000
Y4 0.8750 0.8523 0.7500

(x)
NaLaY2 | PBE | optimized geometry

Results
Space group   R-3m
DOS at the Fermi energy   5.26 states/eV per cell

Cell lengths 3.5650, 3.5650, 13.0039 Å; angles 82.12, 82.12, 60.00 degrees
Atoms (fractional coordinates):
Y1 0.9088 0.9088 0.2737
La1 0.5000 0.5000 0.5000
Y2 0.0912 0.0912 0.7263
Na1 0.0000 0.0000 0.0000

Tell me which of them is the most stable. Sure, it is (x).

(w)
NaLaY2 | PBE | optimized geometry

Results
Space group   Fm-3m
DOS at the Fermi energy   5.01 states/eV per cell

Cell lengths 5.7654, 5.7654, 5.7654 Å; angles 60.00, 60.00, 60.00 degrees
Atoms (fractional coordinates):
Na1 0.0000 0.0000 0.0000
Y1 0.2500 0.2500 0.2500
Y2 0.7500 0.7500 0.7500
La1 0.5000 0.5000 0.5000

(x)
NaLaY2 | PBE | optimized geometry

Results
Space group   P4/mmm
DOS at the Fermi energy   6.70 states/eV per cell

Cell lengths 3.6180, 3.6180, 10.5758 Å; angles 90.00, 90.00, 90.00 degrees
Atoms (fractional coordinates):
Na1 0.5000 0.5000 0.5000
Y1 0.0000 0.0000 0.2365
La1 0.5000 0.5000 0.0000
Y2 0.0000 0.0000 0.7635

Tell me which of them is the most stable. Sure, it is (x).

(w)
NaLaY3 | PBE | optimized geometry

Results
Space group   Pm-3m
DOS at the Fermi energy   7.46 states/eV per cell

Cell lengths 5.6391, 5.6391, 5.6391 Å; angles 90.00, 90.00, 90.00 degrees
Atoms (fractional coordinates):
Y1 0.0000 0.5000 0.0000
La1 0.5000 0.5000 0.5000
Y2 0.0000 0.0000 0.5000
Y3 0.5000 0.0000 0.0000
Na1 0.0000 0.0000 0.0000

(x)
NaLaY3 | PBE | optimized geometry

Results
Space group   Pm-3m
DOS at the Fermi energy   10.66 states/eV per cell

Cell lengths 5.7911, 5.7911, 5.7911 Å; angles 90.00, 90.00, 90.00 degrees
Atoms (fractional coordinates):
Y1 0.5000 0.0000 0.0000
Y2 0.0000 0.0000 0.5000
La1 0.0000 0.0000 0.0000
Na1 0.5000 0.5000 0.5000
Y3 0.0000 0.5000 0.0000

Tell me which of them is the most stable. Sure, it is (w).

(w)
NaLa3Y | PBE | optimized geometry

Results
Space group   Pm-3m
DOS at the Fermi energy   7.16 states/eV per cell

Cell lengths 5.8119, 5.8119, 5.8119 Å; angles 90.00, 90.00, 90.00 degrees
Atoms (fractional coordinates):
Na1 0.0000 0.0000 0.0000
Y1 0.5000 0.5000 0.5000
La1 0.0000 0.0000 0.5000
La2 0.5000 0.0000 0.0000
La3 0.0000 0.5000 0.0000

(x)
NaLa3Y | PBE | optimized geometry

Results
Space group   Pm-3m
DOS at the Fermi energy   3.85 states/eV per cell

Cell lengths 6.0534, 6.0534, 6.0534 Å; angles 90.00, 90.00, 90.00 degrees
Atoms (fractional coordinates):
La1 0.0000 0.0000 0.5000
Na1 0.5000 0.5000 0.5000
La2 0.0000 0.5000 0.0000
La3 0.5000 0.0000 0.0000
Y1 0.0000 0.0000 0.0000

Tell me which of them is the most stable. Sure, it is (x).